Entry 1:
## Pr2Mg3Hg (GGA-PBE)

Data for a geometry-optimized Pr2Mg3Hg structure.

Cell lengths 3.477, 5.205, 8.975 Å; angles 90.00, 90.00, 90.00 degrees
Space group Pmm2 (No. 25)
One atom of each set of equivalent atoms:
1 Pr 0.000 0.000 0.000 x1
2 Pr 0.000 0.500 0.483 x1
3 Mg 0.500 0.000 0.657 x1
4 Mg 0.500 0.500 0.157 x1
5 Mg 0.500 0.500 0.822 x1
6 Hg 0.500 0.000 0.327 x1

* total magnetic moment: 0.00 μB per cell
* VASP energy: -2.6566 eV per atom
* crystal system: orthorhombic
* DFT formation energy: -5.0 kcal/mol of atoms


Entry 2:
## Be3BiPb (GGA-PBE)

Data for a geometry-optimized Be3BiPb structure.

Cell lengths 4.753, 4.753, 4.753 Å; angles 90.00, 90.00, 90.00 degrees
Space group Pm-3m (No. 221)
One atom of each set of equivalent atoms:
1 Be 0.000 0.000 0.500 x3
2 Bi 0.500 0.500 0.500 x1
3 Pb 0.000 0.000 0.000 x1

* total magnetic moment: 0.00 μB per cell
* VASP energy: -2.5286 eV per atom
* crystal system: cubic
* DFT formation energy: 28.2 kcal/mol of atoms


Entry 3:
## CsBe2HgBr8 (GGA-PBE)

Data for a geometry-optimized CsBe2HgBr8 structure.

Cell lengths 6.6294, 6.6294, 30.6590 Å; angles 90.00, 90.00, 120.00 degrees
Space group R-3 (No. 148, hexagonal axes)
One atom of each set of equivalent atoms:
1 Cs 0.0000 0.0000 0.0000 x3
2 Be 0.0000 0.0000 0.2433 x6
3 Hg 0.0000 0.0000 0.5000 x3
4 Br 0.0000 0.0000 0.3142 x6
5 Br 0.0081 0.6872 0.7781 x18

* total magnetic moment: 1.89 μB per cell
* VASP energy: -2.6717 eV per atom
* crystal system: trigonal
* formation energy without anion corrections: -0.8391 eV per atom